(1)
A plane-wave DFT calculation with PBE-GGA was carried out for a relaxed MnInAu2 crystal. Values from VASP.

The structure in Quantum ESPRESSO input format:
```
&SYSTEM
  ibrav = 0, nat = 4, ntyp = 3
/
ATOMIC_SPECIES
Mn 54.94 Mn.upf
In 114.82 In.upf
Au 196.97 Au.upf
CELL_PARAMETERS angstrom
3.1521 -3.2646 0.0000
3.1521 3.2646 0.0000
0.0000 0.0000 3.5913
ATOMIC_POSITIONS crystal
Mn 0.0000 0.0000 0.0000
In 0.5000 0.5000 0.0000
Au 0.0000 0.5000 0.5000
Au 0.5000 0.0000 0.5000
```

## Properties
space-group type	Cmmm (65)
total magnetization	1.0342	μB per atom
crystal system	orthorhombic
energy of formation	-0.22	eV per formula unit
total DFT energy (no corrections)	-4.670	eV/atom



(2)
A plane-wave DFT calculation with PBE-GGA was carried out for a relaxed La2GaFeTe crystal. Values from VASP.

The structure in Quantum ESPRESSO input format:
```
&SYSTEM
  ibrav = 0, nat = 5, ntyp = 4
/
ATOMIC_SPECIES
La 138.91 La.upf
Ga 69.72 Ga.upf
Fe 55.84 Fe.upf
Te 127.60 Te.upf
CELL_PARAMETERS angstrom
5.2650 0.0000 0.0000
0.0000 5.2650 0.0000
0.0000 0.0000 4.6430
ATOMIC_POSITIONS crystal
La 0.0000 0.5000 0.0000
La 0.5000 0.0000 0.0000
Ga 0.0000 0.0000 0.5000
Fe 0.0000 0.0000 0.0000
Te 0.5000 0.5000 0.5000
```

## Properties
space-group type	P4/mmm (123)
formation energy from raw total energies	-69.7	kJ/mol of atoms
total magnetization	0.0000	μB per atom
crystal system	tetragonal
total DFT energy (no corrections)	-5.619	eV/atom



(3)
A plane-wave DFT calculation with PBE-GGA was carried out for a relaxed AcSmAlGa crystal. Values from VASP.

The structure in Quantum ESPRESSO input format:
```
&SYSTEM
  ibrav = 0, nat = 4, ntyp = 4
/
ATOMIC_SPECIES
Ac 227.00 Ac.upf
Sm 150.36 Sm.upf
Al 26.98 Al.upf
Ga 69.72 Ga.upf
CELL_PARAMETERS angstrom
0.0000 3.8164 3.8164
3.8164 0.0000 3.8164
3.8164 3.8164 0.0000
ATOMIC_POSITIONS crystal
Ac 0.0000 0.0000 0.0000
Sm 0.5000 0.5000 0.5000
Al 0.7500 0.7500 0.7500
Ga 0.2500 0.2500 0.2500
```

## Properties
space-group type	F-43m (216)
total magnetization	0.0000	μB per atom
crystal system	cubic
energy of formation	-1.45	eV per formula unit
total DFT energy (no corrections)	-4.261	eV/atom



(4)
A plane-wave DFT calculation with PBE-GGA was carried out for a relaxed Ac4TiSn8 crystal. Values from VASP.

The structure in Quantum ESPRESSO input format:
```
&SYSTEM
  ibrav = 0, nat = 13, ntyp = 3
/
ATOMIC_SPECIES
Ac 227.00 Ac.upf
Ti 47.87 Ti.upf
Sn 118.71 Sn.upf
CELL_PARAMETERS angstrom
4.6387 0.0000 0.0000
0.0000 4.8664 0.0000
0.0000 0.0000 18.2275
ATOMIC_POSITIONS crystal
Ac 0.0000 0.0000 0.0000
Ac 0.0000 0.5000 0.4887
Ac 0.5000 0.0000 0.7884
Ac 0.5000 0.5000 0.2870
Ti 0.0000 0.5000 0.7045
Sn 0.0000 0.0000 0.3327
Sn 0.0000 0.0000 0.6310
Sn 0.0000 0.5000 0.1375
Sn 0.0000 0.5000 0.8554
Sn 0.5000 0.0000 0.1481
Sn 0.5000 0.0000 0.4414
Sn 0.5000 0.5000 0.6259
Sn 0.5000 0.5000 0.9633
```

## Properties
space-group type	Pmm2 (25)
total magnetization	0.0412	μB per atom
crystal system	orthorhombic
energy of formation	-6.88	eV per formula unit
total DFT energy (no corrections)	-4.864	eV/atom



(5)
A plane-wave DFT calculation with PBE-GGA was carried out for a relaxed RbNaI2N crystal. Values from VASP.

The structure in Quantum ESPRESSO input format:
```
&SYSTEM
  ibrav = 0, nat = 5, ntyp = 4
/
ATOMIC_SPECIES
Rb 85.47 Rb.upf
Na 22.99 Na.upf
I 126.90 I.upf
N 14.01 N.upf
CELL_PARAMETERS angstrom
6.8678 0.0000 0.0000
0.0000 6.8678 0.0000
0.0000 0.0000 5.5873
ATOMIC_POSITIONS crystal
Rb 0.0000 0.0000 0.0000
Na 0.5000 0.5000 0.5000
I 0.0000 0.5000 0.0000
I 0.5000 0.0000 0.0000
N 0.0000 0.0000 0.5000
```

## Properties
space-group type	P4/mmm (123)
formation energy from raw total energies	25.0	kJ/mol of atoms
total magnetization	0.6038	μB per atom
ΔE to the lowest computed polymorph	300	meV per atom
crystal system	tetragonal
total DFT energy (no corrections)	-2.484	eV/atom



(6)
A plane-wave DFT calculation with PBE-GGA was carried out for a relaxed Sr3HgBi2 crystal. Values from VASP.

The structure in Quantum ESPRESSO input format:
```
&SYSTEM
  ibrav = 0, nat = 12, ntyp = 3
/
ATOMIC_SPECIES
Sr 87.62 Sr.upf
Hg 200.59 Hg.upf
Bi 208.98 Bi.upf
CELL_PARAMETERS angstrom
7.9011 -3.3333 0.0000
7.9011 3.3333 0.0000
-3.0590 0.0000 9.3439
ATOMIC_POSITIONS crystal
Sr 0.0901 0.9099 0.7500
Sr 0.3005 0.3018 0.4005
Sr 0.3018 0.3005 0.9005
Sr 0.6982 0.6995 0.0995
Sr 0.6995 0.6982 0.5995
Sr 0.9099 0.0901 0.2500
Hg 0.4016 0.5984 0.2500
Hg 0.5984 0.4016 0.7500
Bi 0.1479 0.1491 0.0742
Bi 0.1491 0.1479 0.5742
Bi 0.8509 0.8521 0.4258
Bi 0.8521 0.8509 0.9258
```

## Properties
space-group type	C2/c (15)
total magnetization	0.0000	μB per atom
ΔE to the lowest computed polymorph	64	meV per atom
crystal system	monoclinic
energy of formation	-4.15	eV per formula unit
total DFT energy (no corrections)	-2.877	eV/atom



(7)
A plane-wave DFT calculation with PBE-GGA was carried out for a relaxed Ac2AlAu crystal. Values from VASP.

The structure in Quantum ESPRESSO input format:
```
&SYSTEM
  ibrav = 0, nat = 4, ntyp = 3
/
ATOMIC_SPECIES
Ac 227.00 Ac.upf
Al 26.98 Al.upf
Au 196.97 Au.upf
CELL_PARAMETERS angstrom
3.9105 0.0000 0.0000
0.0000 3.9105 0.0000
0.0000 0.0000 7.9699
ATOMIC_POSITIONS crystal
Ac 0.0000 0.0000 0.2473
Ac 0.0000 0.0000 0.7527
Al 0.5000 0.5000 0.5000
Au 0.5000 0.5000 0.0000
```

## Properties
space-group type	P4/mmm (123)
total magnetization	0.0001	μB per atom
crystal system	tetragonal
energy of formation	-1.96	eV per formula unit
total DFT energy (no corrections)	-4.300	eV/atom



(8)
A plane-wave DFT calculation with PBE-GGA was carried out for a relaxed KZnTc crystal. Values from VASP.

The structure in Quantum ESPRESSO input format:
```
&SYSTEM
  ibrav = 0, nat = 3, ntyp = 3
/
ATOMIC_SPECIES
K 39.10 K.upf
Zn 65.41 Zn.upf
Tc 98.00 Tc.upf
CELL_PARAMETERS angstrom
5.1443 0.0000 0.0000
-2.5722 4.4551 0.0000
0.0000 0.0000 2.6343
ATOMIC_POSITIONS crystal
K 0.0000 0.0000 0.0000
Zn 0.3333 0.6667 0.5003
Tc 0.6667 0.3333 0.5038
```

## Properties
space-group type	P3m1 (156)
total magnetization	0.2069	μB per atom
ΔE to the lowest computed polymorph	367	meV per atom
crystal system	trigonal
energy of formation	3.24	eV per formula unit
total DFT energy (no corrections)	-3.166	eV/atom



Please write out number 8 again, unchanged.
A plane-wave DFT calculation with PBE-GGA was carried out for a relaxed KZnTc crystal. Values from VASP.

The structure in Quantum ESPRESSO input format:
```
&SYSTEM
  ibrav = 0, nat = 3, ntyp = 3
/
ATOMIC_SPECIES
K 39.10 K.upf
Zn 65.41 Zn.upf
Tc 98.00 Tc.upf
CELL_PARAMETERS angstrom
5.1443 0.0000 0.0000
-2.5722 4.4551 0.0000
0.0000 0.0000 2.6343
ATOMIC_POSITIONS crystal
K 0.0000 0.0000 0.0000
Zn 0.3333 0.6667 0.5003
Tc 0.6667 0.3333 0.5038
```

## Properties
space-group type	P3m1 (156)
total magnetization	0.2069	μB per atom
ΔE to the lowest computed polymorph	367	meV per atom
crystal system	trigonal
energy of formation	3.24	eV per formula unit
total DFT energy (no corrections)	-3.166	eV/atom



Q: The highest total DFT energy (no corrections) belongs to which entry?
A: RbNaI2N